Record 1
DFT (PBE-GGA) results for Nd8Y2Th after structural relaxation.

Its formation energy from the elements is 31 meV/atom. As for the density: 6.84 g/cm3. The value obtained for the density of states at the Fermi level is 33.94 states/eV/cell. For the final energy, the calculation gives -5.287 eV/atom.

It has space group C2/m (No. 12), with a = 18.633 Å, b = 5.165 Å, c = 8.179 Å, α = 90.00°, β = 105.31° and γ = 90.00°. The distinct sites, in fractional coordinates, are Nd at (0.045, 0.000, 0.234), Nd at (0.091, 0.500, 0.952), Nd at (0.135, 0.000, 0.681), Nd at (0.180, 0.500, 0.410), Y at (0.228, 0.000, 0.135) and Th at (0.000, 0.500, 0.500).

Record 2
DFT (PBE-GGA) results for Ac3Gd5H12 after structural relaxation.

As for the density: 7.40 g/cm3. The value obtained for the density of states at the Fermi level is 113.79 states/eV/cell. For the final energy, the calculation gives -6.584 eV/atom.

It has space group Ia-3d (No. 230), with a = 13.848 Å, b = 13.848 Å, c = 13.848 Å, α = 90.00°, β = 90.00° and γ = 90.00°. The distinct sites, in fractional coordinates, are Ac at (0.000, 0.250, 0.125), Gd at (0.000, 0.000, 0.000), Gd at (0.000, 0.250, 0.375) and H at (0.012, 0.065, 0.651).

Record 3
DFT (PBE-GGA) results for CaTaN2F after structural relaxation.

As for the density: 6.26 g/cm3. The value obtained for the density of states at the Fermi level is 4.17 states/eV/cell. The uncorrected formation energy comes out at 0.687 eV per atom. For the final energy, the calculation gives -5.789 eV/atom.

It has space group P4/mmm (No. 123), with a = 4.300 Å, b = 4.300 Å, c = 3.847 Å, α = 90.00°, β = 90.00° and γ = 90.00°. The distinct sites, in fractional coordinates, are Ca at (0.000, 0.000, 0.000), Ta at (0.500, 0.500, 0.500), N at (0.000, 0.500, 0.000) and F at (0.000, 0.000, 0.500).